No. 1
First-principles (PBE) data for an optimized crystal structure of Ho7Bi2Os2, as listed in Alexandria.

Cell lengths 9.579, 9.579, 9.579 Å; angles 155.90, 63.23, 122.52 degrees
Fractional coordinates of all 11 atoms:
Ho (0.000, 0.000, 0.000)
Ho (0.063, 0.379, 0.684)
Ho (0.088, 0.747, 0.341)
Ho (0.407, 0.747, 0.659)
Ho (0.452, 0.586, 0.867)
Ho (0.695, 0.379, 0.316)
Ho (0.719, 0.586, 0.133)
Bi (0.332, 0.332, 0.000)
Bi (0.741, 0.241, 0.500)
Os (0.312, 0.069, 0.243)
Os (0.825, 0.069, 0.757)

Its formation energy from the elements is -436 meV per atom. As for the volume: 27.33 A^3/atom. The final energy comes out at -67.06 eV per formula unit. The magnetization is 0.00 μB per formula unit.

=====

No. 2
First-principles (PBE) data for an optimized crystal structure of Ho6BiOs, as listed in Alexandria.

Cell lengths 7.709, 7.709, 7.709 Å; angles 52.57, 52.57, 52.57 degrees
Fractional coordinates of all 8 atoms:
Ho (0.039, 0.416, 0.776)
Ho (0.224, 0.961, 0.584)
Ho (0.416, 0.776, 0.039)
Ho (0.584, 0.224, 0.961)
Ho (0.776, 0.039, 0.416)
Ho (0.961, 0.584, 0.224)
Bi (0.500, 0.500, 0.500)
Os (0.000, 0.000, 0.000)

Its formation energy from the elements is -106 meV per atom. As for the volume: 33.43 A^3/atom. The final energy comes out at -43.42 eV per formula unit. The magnetization is 0.00 μB per formula unit.

=====

No. 3
First-principles (PBE) data for an optimized crystal structure of Ho3Bi2Os, as listed in Alexandria.

Cell lengths 6.018, 16.559, 3.531 Å; angles 90.00, 90.00, 90.00 degrees
Fractional coordinates of all 12 atoms:
Ho (0.000, 0.000, 0.000)
Ho (0.000, 0.375, 0.500)
Ho (0.000, 0.625, 0.500)
Ho (0.500, 0.125, 0.500)
Ho (0.500, 0.500, 0.000)
Ho (0.500, 0.875, 0.500)
Bi (0.000, 0.172, 0.500)
Bi (0.000, 0.828, 0.500)
Bi (0.500, 0.328, 0.500)
Bi (0.500, 0.672, 0.500)
Os (0.000, 0.500, 0.000)
Os (0.500, 0.000, 0.000)

Its formation energy from the elements is -246 meV per atom. As for the volume: 29.33 A^3/atom. The final energy comes out at -34.20 eV per formula unit. The magnetization is 0.00 μB per formula unit.